1.
A plane-wave DFT calculation with PBE was carried out for a relaxed structure of SrFeAs2.

a = 3.4893 Å, b = 3.4893 Å, c = 7.0425 Å
α = 90.00°, β = 90.00°, γ = 90.00°
Closest atoms and distances in Å follow each position.
Element x y z (fractional)
Sr 0.0000 0.0000 0.0000  5 As 3.15-3.17, 4 Sr 3.49
Fe 0.5000 0.5000 0.6214  5 As 2.41-2.52
As 0.0000 0.0000 0.5493  4 Fe 2.52
As 0.5000 0.5000 0.2787  1 Fe 2.41

Calculated values
Crystal system = tetragonal
Space group = P4mm, No. 99
DOS at the Fermi energy = 0.94 states/eV/atom
Energy of formation from the pure elements = -0.061 eV per atom

=====

2.
A plane-wave DFT calculation with PBE was carried out for a relaxed structure of Ac2PrAl.

a = 3.9556 Å, b = 3.9556 Å, c = 9.2029 Å
α = 90.00°, β = 90.00°, γ = 90.00°
Closest atoms and distances in Å follow each position.
Element x y z (fractional)
Ac 0.0000 0.0000 0.2084  4 Al 3.39
Ac 0.0000 0.0000 0.7916  4 Al 3.39
Pr 0.5000 0.5000 0.5000  8 Ac 3.88, 4 Pr 3.96
Al 0.5000 0.5000 0.0000  8 Ac 3.39

Calculated values
Relative energy among the computed polymorphs = 0.000 eV/atom
Crystal system = tetragonal
Space group = P4/mmm, No. 123
DOS at the Fermi energy = 0.93 states/eV/atom
Energy of formation from the pure elements = -0.086 eV per atom

=====

3.
A plane-wave DFT calculation with PBE was carried out for a relaxed structure of Hf4Pt2N.

a = 13.9922 Å, b = 3.2014 Å, c = 5.9020 Å
α = 90.00°, β = 111.37°, γ = 90.00°
Closest atoms and distances in Å follow each position.
Element x y z (fractional)
Hf 0.0804 0.0000 0.3989  1 N 2.21
Hf 0.1106 0.5000 0.9522  2 N 2.31
Hf 0.3894 0.0000 0.0478  2 N 2.31
Hf 0.4196 0.5000 0.6011  1 N 2.21
Hf 0.5804 0.5000 0.3989  1 N 2.21
Hf 0.6106 0.0000 0.9522  2 N 2.31
Hf 0.8894 0.5000 0.0478  2 N 2.31
Hf 0.9196 0.0000 0.6011  1 N 2.21
Pt 0.2402 0.5000 0.6981  6 Hf 2.74-2.84, 2 Pt 2.93
Pt 0.2598 0.0000 0.3019  6 Hf 2.74-2.84, 2 Pt 2.93
Pt 0.7402 0.0000 0.6981  6 Hf 2.74-2.84, 2 Pt 2.93
Pt 0.7598 0.5000 0.3019  6 Hf 2.74-2.84, 2 Pt 2.93
N 0.0000 0.0000 0.0000  6 Hf 2.21-2.31
N 0.5000 0.5000 0.0000  6 Hf 2.21-2.31

Calculated values
Relative energy among the computed polymorphs = 0.219 eV/atom
Energy relative to the elements, uncorrected = -6.31 eV/f.u.
Crystal system = monoclinic
Space group = C2/m, No. 12
DOS at the Fermi energy = 0.70 states/eV/atom

=====

4.
A plane-wave DFT calculation with PBE was carried out for a relaxed structure of PrSnP2Rh5.

a = 4.0926 Å, b = 4.0926 Å, c = 10.0622 Å
α = 90.00°, β = 90.00°, γ = 90.00°
Closest atoms and distances in Å follow each position.
Element x y z (fractional)
Pr 0.0000 0.0000 0.0000  4 Rh 2.89
Sn 0.0000 0.0000 0.5000  8 Rh 2.70
P 0.5000 0.5000 0.2251  5 Rh 2.26-2.28
P 0.5000 0.5000 0.7749  5 Rh 2.26-2.28
Rh 0.0000 0.5000 0.3246  2 P 2.28
Rh 0.0000 0.5000 0.6754  2 P 2.28
Rh 0.5000 0.0000 0.3246  2 P 2.28
Rh 0.5000 0.0000 0.6754  2 P 2.28
Rh 0.5000 0.5000 0.0000  2 P 2.26

Calculated values
Crystal system = tetragonal
Space group = P4/mmm, No. 123
DOS at the Fermi energy = 0.33 states/eV/atom
Energy of formation from the pure elements = -0.723 eV per atom

=====

5.
A plane-wave DFT calculation with PBE was carried out for a relaxed structure of Li2MgSO4.

a = 4.6069 Å, b = 4.6069 Å, c = 8.8346 Å
α = 90.00°, β = 90.00°, γ = 90.00°
Closest atoms and distances in Å follow each position.
Element x y z (fractional)
Li 0.0000 0.0000 0.0000  4 O 2.02
Li 0.0000 0.5000 0.2500  4 O 2.04
Li 0.5000 0.0000 0.7500  4 O 2.04
Li 0.5000 0.5000 0.5000  4 O 2.02
Mg 0.0000 0.0000 0.5000  4 O 1.99
Mg 0.5000 0.5000 0.0000  4 O 1.99
S 0.0000 0.5000 0.7500  4 O 1.84
S 0.5000 0.0000 0.2500  4 O 1.84
O 0.2298 0.2652 0.6311  1 S 1.84, 1 Mg 1.99, 2 Li 2.02-2.04
O 0.2348 0.7298 0.8689  1 S 1.84, 1 Mg 1.99, 2 Li 2.02-2.04
O 0.2652 0.7702 0.3689  1 S 1.84, 1 Mg 1.99, 2 Li 2.02-2.04
O 0.2702 0.2348 0.1311  1 S 1.84, 1 Mg 1.99, 2 Li 2.02-2.04
O 0.7298 0.7652 0.1311  1 S 1.84, 1 Mg 1.99, 2 Li 2.02-2.04
O 0.7348 0.2298 0.3689  1 S 1.84, 1 Mg 1.99, 2 Li 2.02-2.04
O 0.7652 0.2702 0.8689  1 S 1.84, 1 Mg 1.99, 2 Li 2.02-2.04
O 0.7702 0.7348 0.6311  1 S 1.84, 1 Mg 1.99, 2 Li 2.02-2.04

Calculated values
Energy relative to the elements, uncorrected = -11.74 eV/f.u.
Crystal system = tetragonal
Space group = I-4, No. 82

=====

6.
A plane-wave DFT calculation with PBE was carried out for a relaxed structure of DyScInPt.

a = 7.0597 Å, b = 7.0597 Å, c = 7.0597 Å
α = 90.00°, β = 90.00°, γ = 90.00°
Closest atoms and distances in Å follow each position.
Element x y z (fractional)
Dy 0.0000 0.0000 0.0000  4 In 3.06, 4 Pt 3.06
Dy 0.0000 0.5000 0.5000  4 In 3.06, 4 Pt 3.06
Dy 0.5000 0.0000 0.5000  4 In 3.06, 4 Pt 3.06
Dy 0.5000 0.5000 0.0000  4 In 3.06, 4 Pt 3.06
Sc 0.0000 0.0000 0.5000  4 In 3.06, 4 Pt 3.06
Sc 0.0000 0.5000 0.0000  4 In 3.06, 4 Pt 3.06
Sc 0.5000 0.0000 0.0000  4 In 3.06, 4 Pt 3.06
Sc 0.5000 0.5000 0.5000  4 Pt 3.06, 4 In 3.06
In 0.2500 0.2500 0.7500  4 Dy 3.06, 4 Sc 3.06
In 0.2500 0.7500 0.2500  4 Dy 3.06, 4 Sc 3.06
In 0.7500 0.2500 0.2500  4 Dy 3.06, 4 Sc 3.06
In 0.7500 0.7500 0.7500  4 Dy 3.06, 4 Sc 3.06
Pt 0.2500 0.2500 0.2500  4 Dy 3.06, 4 Sc 3.06
Pt 0.2500 0.7500 0.7500  4 Dy 3.06, 4 Sc 3.06
Pt 0.7500 0.2500 0.7500  4 Dy 3.06, 4 Sc 3.06
Pt 0.7500 0.7500 0.2500  4 Dy 3.06, 4 Sc 3.06

Calculated values
Crystal system = cubic
Space group = F-43m, No. 216
DOS at the Fermi energy = 0.83 states/eV/atom
Energy of formation from the pure elements = -0.735 eV per atom

=====

7.
A plane-wave DFT calculation with PBE was carried out for a relaxed structure of Sm2TmScTe5.

a = 5.5074 Å, b = 5.5074 Å, c = 11.0782 Å
α = 90.00°, β = 90.00°, γ = 90.00°
Closest atoms and distances in Å follow each position.
Element x y z (fractional)
Sm 0.0000 0.0000 0.1733  5 Te 3.36-3.62
Sm 0.0000 0.0000 0.8267  5 Te 3.36-3.62
Tm 0.5000 0.5000 0.0000  6 Te 2.75-2.89
Sc 0.5000 0.5000 0.5000  2 Te 2.65
Te 0.0000 0.0000 0.5000  2 Sm 3.62, 4 Sc 3.89
Te 0.0000 0.5000 0.0000  2 Tm 2.75
Te 0.5000 0.0000 0.0000  2 Tm 2.75
Te 0.5000 0.5000 0.2605  1 Sc 2.65, 1 Tm 2.89
Te 0.5000 0.5000 0.7395  1 Sc 2.65, 1 Tm 2.89

Calculated values
Energy relative to the elements, uncorrected = -6.41 eV/f.u.
Crystal system = tetragonal
Space group = P4/mmm, No. 123
DOS at the Fermi energy = 0.62 states/eV/atom

=====

8.
A plane-wave DFT calculation with PBE was carried out for a relaxed structure of Ba2ScSb.

a = 5.0962 Å, b = 5.0962 Å, c = 11.1431 Å
α = 90.00°, β = 90.00°, γ = 90.00°
Closest atoms and distances in Å follow each position.
Element x y z (fractional)
Ba 0.0000 0.0000 0.0000  4 Sc 3.60, 4 Ba 3.78, 4 Sb 3.78
Ba 0.0000 0.5000 0.2500  4 Sb 3.60, 4 Ba 3.78, 4 Sc 3.78
Ba 0.5000 0.0000 0.7500  4 Sb 3.60, 4 Ba 3.78, 4 Sc 3.78
Ba 0.5000 0.5000 0.5000  4 Sc 3.60, 4 Ba 3.78, 4 Sb 3.78
Sc 0.0000 0.0000 0.5000  8 Ba 3.60-3.78, 4 Sb 3.78
Sc 0.5000 0.5000 0.0000  8 Ba 3.60-3.78, 4 Sb 3.78
Sb 0.0000 0.5000 0.7500  8 Ba 3.60-3.78, 4 Sc 3.78
Sb 0.5000 0.0000 0.2500  8 Ba 3.60-3.78, 4 Sc 3.78

Calculated values
Energy relative to the elements, uncorrected = -0.74 eV/f.u.
Crystal system = tetragonal
Space group = I-4m2, No. 119
DOS at the Fermi energy = 1.28 states/eV/atom

=====

9.
A plane-wave DFT calculation with PBE was carried out for a relaxed structure of GdCdIn4.

a = 6.1094 Å, b = 6.1094 Å, c = 6.1094 Å
α = 60.00°, β = 60.00°, γ = 60.00°
Closest atoms and distances in Å follow each position.
Element x y z (fractional)
Gd 0.0000 0.0000 0.0000  12 In 3.58, 4 Cd 3.74
Cd 0.2500 0.2500 0.2500  12 In 3.58, 4 Gd 3.74
In 0.1248 0.6251 0.6251  6 In 3.05-3.06
In 0.6251 0.1248 0.6251  6 In 3.05-3.06
In 0.6251 0.6251 0.1248  6 In 3.05-3.06
In 0.6251 0.6251 0.6251  6 In 3.05-3.06

Calculated values
Crystal system = cubic
Space group = F-43m, No. 216
DOS at the Fermi energy = 1.19 states/eV/atom
Energy of formation from the pure elements = -0.072 eV per atom

=====

10.
A plane-wave DFT calculation with PBE was carried out for a relaxed structure of Nd2FeGe3Pt4.

a = 4.3224 Å, b = 4.3224 Å, c = 10.2177 Å
α = 90.00°, β = 90.00°, γ = 90.00°
Closest atoms and distances in Å follow each position.
Element x y z (fractional)
Nd 0.0000 0.5000 0.2431  8 Pt 3.28-3.40, 6 Ge 3.29-3.31, 2 Fe 3.29
Nd 0.5000 0.0000 0.7569  8 Pt 3.28-3.40, 6 Ge 3.29-3.31, 2 Fe 3.29
Fe 0.5000 0.5000 0.0000  4 Pt 2.52
Ge 0.0000 0.0000 0.0000  4 Pt 2.52
Ge 0.0000 0.5000 0.6333  5 Pt 2.45-2.55
Ge 0.5000 0.0000 0.3667  5 Pt 2.45-2.55
Pt 0.0000 0.0000 0.5000  4 Ge 2.55
Pt 0.0000 0.5000 0.8728  3 Ge 2.45-2.52, 2 Fe 2.52
Pt 0.5000 0.0000 0.1272  3 Ge 2.45-2.52, 2 Fe 2.52
Pt 0.5000 0.5000 0.5000  4 Ge 2.55

Calculated values
Crystal system = tetragonal
Space group = P-4m2, No. 115
DOS at the Fermi energy = 0.67 states/eV/atom
Energy of formation from the pure elements = -0.835 eV per atom

=====

11.
A plane-wave DFT calculation with PBE was carried out for a relaxed structure of NaHfRe2C.

a = 4.1337 Å, b = 4.1337 Å, c = 4.4520 Å
α = 90.00°, β = 90.00°, γ = 90.00°
Closest atoms and distances in Å follow each position.
Element x y z (fractional)
Na 0.0000 0.0000 0.0000  2 C 2.23
Hf 0.5000 0.5000 0.0000  4 Na 2.92, 8 Re 3.04
Re 0.0000 0.5000 0.5000  2 C 2.07
Re 0.5000 0.0000 0.5000  2 C 2.07
C 0.0000 0.0000 0.5000  4 Re 2.07, 2 Na 2.23

Calculated values
Crystal system = tetragonal
Space group = P4/mmm, No. 123
DOS at the Fermi energy = 0.82 states/eV/atom
Energy of formation from the pure elements = 0.454 eV per atom

=====

12.
A plane-wave DFT calculation with PBE was carried out for a relaxed structure of PmY2Er3Se6.

a = 7.0529 Å, b = 7.0529 Å, c = 7.1075 Å
α = 99.48°, β = 99.48°, γ = 120.29°
Closest atoms and distances in Å follow each position.
Element x y z (fractional)
Pm 0.0000 0.0000 0.0000  6 Se 2.94-2.96
Y 0.3343 0.6657 0.0000  6 Se 2.88-2.91
Y 0.6657 0.3343 0.0000  6 Se 2.88-2.91
Er 0.1621 0.8379 0.5000  6 Se 2.84-2.87
Er 0.5000 0.5000 0.5000  6 Se 2.82-2.87
Er 0.8379 0.1621 0.5000  6 Se 2.84-2.87
Se 0.0862 0.4265 0.2592  3 Er 2.85-2.87, 2 Y 2.90-2.91, 1 Pm 2.96
Se 0.2543 0.2543 0.7440  3 Er 2.82-2.84, 2 Y 2.88, 1 Pm 2.94
Se 0.4265 0.0862 0.2592  3 Er 2.85-2.87, 2 Y 2.90-2.91, 1 Pm 2.96
Se 0.5735 0.9138 0.7408  3 Er 2.85-2.87, 2 Y 2.90-2.91, 1 Pm 2.96
Se 0.7457 0.7457 0.2560  3 Er 2.82-2.84, 2 Y 2.88, 1 Pm 2.94
Se 0.9138 0.5735 0.7408  3 Er 2.85-2.87, 2 Y 2.90-2.91, 1 Pm 2.96

Calculated values
Energy relative to the elements, uncorrected = -20.93 eV/f.u.
Crystal system = monoclinic
Space group = C2/m, No. 12
DOS at the Fermi energy = 0.47 states/eV/atom

=====

13.
A plane-wave DFT calculation with PBE was carried out for a relaxed structure of Ba4Au.

a = 4.7262 Å, b = 4.7262 Å, c = 22.7943 Å
α = 90.00°, β = 90.00°, γ = 90.00°
Closest atoms and distances in Å follow each position.
Element x y z (fractional)
Ba 0.0000 0.0000 0.0821  1 Ba 3.74, 4 Au 3.83
Ba 0.0000 0.0000 0.9179  1 Ba 3.74, 4 Au 3.83
Ba 0.0000 0.5000 0.2500  4 Ba 3.34
Ba 0.0000 0.5000 0.7500  4 Ba 3.34
Ba 0.5000 0.0000 0.2500  4 Ba 3.34
Ba 0.5000 0.0000 0.7500  4 Ba 3.34
Ba 0.5000 0.5000 0.4179  1 Ba 3.74, 4 Au 3.83
Ba 0.5000 0.5000 0.5821  1 Ba 3.74, 4 Au 3.83
Au 0.0000 0.0000 0.5000  8 Ba 3.83
Au 0.5000 0.5000 0.0000  8 Ba 3.83

Calculated values
Relative energy among the computed polymorphs = 0.469 eV/atom
Crystal system = tetragonal
Space group = I4/mmm, No. 139
DOS at the Fermi energy = 1.69 states/eV/atom
Energy of formation from the pure elements = 0.159 eV per atom

=====

no.,volume (Å³/cell),electronic total energy (Ha/atom)
1,85.74,-0.181
2,144.00,-0.157
3,246.20,-0.349
4,168.54,-0.257
5,187.50,-0.189
6,351.85,-0.208
7,336.02,-0.173
8,289.40,-0.138
9,161.24,-0.162
10,190.90,-0.237
11,76.07,-0.317
12,288.11,-0.224
13,509.16,-0.075